[1]
PBE HoP3C3, relaxed; M_tot = 0.000 μB per atom; SG = No. 194; total DFT energy (no corrections) = -6.22 eV/atom
1.0
-2.569 1.120 -1.948
-0.616 -1.090 3.175
2.304 15.024 5.602
C P Ho
6 6 2
Direct
0.333 0.667 0.128
0.667 0.333 0.628
0.333 0.667 0.372
0.667 0.333 0.250
0.333 0.667 0.750
0.667 0.333 0.872
0.667 0.333 0.379
0.333 0.667 0.879
0.333 0.667 0.621
0.333 0.667 0.250
0.667 0.333 0.750
0.667 0.333 0.121
0.000 0.000 0.500
0.000 0.000 0.000



[2]
PBE PaHgO3, relaxed; M_tot = 0.000 μB per atom; SG = No. 167; total DFT energy (no corrections) = -6.86 eV/atom
1.0
3.058 -1.766 -5.005
-3.058 -1.766 -5.005
0.000 3.531 -5.005
O Pa Hg
6 2 2
Direct
0.318 0.182 0.750
0.182 0.750 0.318
0.818 0.250 0.682
0.750 0.318 0.182
0.682 0.818 0.250
0.250 0.682 0.818
0.500 0.500 0.500
0.000 0.000 0.000
0.750 0.750 0.750
0.250 0.250 0.250



[3]
PBE Pr2NdIn3PtAu2, relaxed; M_tot = 0.000 μB per atom; SG = No. 38; total DFT energy (no corrections) = -4.71 eV/atom
1.0
4.086 0.000 0.000
0.000 6.828 3.942
0.000 -6.828 3.942
Pr Au Pt In Nd
2 2 1 3 1
Direct
0.000 0.405 0.000
0.000 0.000 0.405
0.500 0.666 0.335
0.500 0.335 0.666
0.000 0.999 0.999
0.500 0.750 0.000
0.500 0.250 0.250
0.500 0.000 0.750
0.000 0.595 0.595



[4]
PBE KRbPdC2, relaxed; SG = No. 156; total DFT energy (no corrections) = -5.11 eV/atom
1.0
5.305 0.000 0.000
-2.653 4.595 0.000
0.000 0.000 5.299
C K Pd Rb
2 1 1 1
Direct
0.667 0.333 0.380
0.667 0.333 0.620
0.000 0.000 0.725
0.667 0.333 0.999
0.333 0.667 0.276



[5]
PBE Nd3Mg3In2Ga, relaxed; M_tot = 0.001 μB per atom; SG = No. 189; total DFT energy (no corrections) = -3.48 eV/atom
1.0
7.698 0.000 0.000
-3.849 6.667 0.000
0.000 0.000 4.649
Ga Nd Mg In
1 3 3 2
Direct
0.000 0.000 0.000
0.000 0.587 0.000
0.413 0.413 0.000
0.587 0.000 0.000
0.000 0.237 0.500
0.237 0.000 0.500
0.763 0.763 0.500
0.667 0.333 0.500
0.333 0.667 0.500



[6]
PBE Sr2MgH6Pd, relaxed; SG = No. 225; total DFT energy (no corrections) = -3.41 eV/atom
1.0
0.000 3.908 3.908
3.908 0.000 3.908
3.908 3.908 0.000
Pd Mg H Sr
1 1 6 2
Direct
0.500 0.500 0.500
0.000 0.000 0.000
0.254 0.254 0.746
0.254 0.746 0.746
0.746 0.746 0.254
0.746 0.254 0.746
0.254 0.746 0.254
0.746 0.254 0.254
0.250 0.250 0.250
0.750 0.750 0.750



Question: Among the records above, which one has the highest total DFT energy (no corrections)?
Answer: Sr2MgH6Pd



Question: What is the total DFT energy (no corrections) in the fourth record?
Answer: -5.11 eV/atom